Below is a relaxed RbBeCu2Tc crystal, with properties calculated at the PBE-GGA level.

Values from the calculation:
Its calculated density is 4.50 Mg/m³. The space-group type is P4/mmm, No. 123. As for the energy of formation: 2.735 eV/atom.

a b c (Å): 4.867 4.976 4.867
angles (deg): 90.00 90.00 90.00
Fractional coordinates of all 5 atoms:
1 Be 0.500 0.500 0.500
2 Cu 0.000 0.000 0.500
3 Cu 0.500 0.000 0.000
4 Tc 0.000 0.500 0.000
5 Rb 0.000 0.000 0.000

Below is a relaxed RbBeCu2W crystal, with properties calculated at the PBE-GGA level.

Values from the calculation:
Its calculated density is 5.66 Mg/m³. The space-group type is P4/mmm, No. 123. As for the energy of formation: 3.131 eV/atom.

a b c (Å): 4.807 4.807 5.152
angles (deg): 90.00 90.00 90.00
Fractional coordinates of all 5 atoms:
1 Be 0.500 0.500 0.500
2 Cu 0.000 0.500 0.000
3 Cu 0.500 0.000 0.000
4 Rb 0.000 0.000 0.000
5 W 0.000 0.000 0.500

Below is a relaxed BeCuRe2 crystal, with properties calculated at the PBE-GGA level.

Values from the calculation:
Its calculated density is 14.22 Mg/m³. The space-group type is Cmmm, No. 65. As for the energy of formation: 0.339 eV/atom.

a b c (Å): 4.637 4.637 2.621
angles (deg): 90.00 90.00 112.80
Fractional coordinates of all 4 atoms:
1 Re 0.000 0.000 0.000
2 Re 0.500 0.500 0.000
3 Cu 0.000 0.500 0.500
4 Be 0.500 0.000 0.500

Below is a relaxed BeCuRe2 crystal, with properties calculated at the PBE-GGA level.

Values from the calculation:
Its calculated density is 14.89 Mg/m³. The space-group type is P4/mmm, No. 123. As for the energy of formation: 0.246 eV/atom.

a b c (Å): 2.795 2.795 6.350
angles (deg): 90.00 90.00 90.00
Fractional coordinates of all 4 atoms:
1 Re 0.000 0.000 0.033
2 Re 0.000 0.000 0.467
3 Cu 0.500 0.500 0.750
4 Be 0.500 0.500 0.250

Below is a relaxed BeCu2Re crystal, with properties calculated at the PBE-GGA level.

Values from the calculation:
Its calculated density is 10.87 Mg/m³. The space-group type is R-3m, No. 166. As for the energy of formation: 0.239 eV/atom.

a b c (Å): 8.298 8.298 8.298
angles (deg): 18.31 18.31 18.31
Fractional coordinates of all 4 atoms:
1 Re 0.250 0.250 0.250
2 Cu 0.008 0.008 0.008
3 Cu 0.492 0.492 0.492
4 Be 0.750 0.750 0.750

Below is a relaxed Be2CuRe crystal, with properties calculated at the PBE-GGA level.

Values from the calculation:
Its calculated density is 10.09 Mg/m³. The space-group type is Cm, No. 8. As for the energy of formation: 0.016 eV/atom. For the energy above the most stable polymorph in this dataset, the calculation gives 0.072 eV/atom.

a b c (Å): 4.551 4.551 4.195
angles (deg): 71.88 71.88 32.40
Fractional coordinates of all 4 atoms:
1 Re 0.262 0.262 0.183
2 Cu 0.485 0.485 0.568
3 Be 0.017 0.017 0.048
4 Be 0.736 0.736 0.702

Let's list calculated volume in order: 117.9, 119.0, 52.0, 49.6, 49.2, 44.1 Å³/cell.